An optimized crystal structure of MgAg2. Source: Alexandria via LeMat-Bulk, functional PBE-GGA.

The density of states at the Fermi level comes out at 3.78 states/eV/cell. The calculation puts the formation energy at -0.163 eV per atom. The value obtained for the magnetic moment is 0.00 μB/cell. The value obtained for the total energy is -2.595 eV/atom.

The space group is C2/c (No. 15) and the conventional cell measures 8.642, 5.213 and 5.865 Å, with angles of 90.00, 124.33 and 90.00 degrees. Symmetry generates all atoms from Mg at (0.000, 0.109, 0.250) and Ag at (0.169, 0.402, 0.755).